MgWNF2: relaxed, GGA+U.

```
data_MgWNF2
_space_group_name_H-M_alt 'P 1'
_space_group_IT_number 1
_space_group_name_Hall 'P 1'
_cell_length_a 3.5344
_cell_length_b 3.5344
_cell_length_c 5.1330
_cell_angle_alpha 90.00
_cell_angle_beta 90.00
_cell_angle_gamma 90.00
loop_
_atom_site_label
_atom_site_fract_x
_atom_site_fract_y
_atom_site_fract_z
Mg1 0.0000 0.0000 0.0000
W1 0.5000 0.5000 0.5000
N1 0.0000 0.0000 0.5000
F1 0.0000 0.5000 0.0000
F2 0.5000 0.0000 0.0000
```

Computed properties:
* N(E_F): 0.139 states/eV per atom
* energy: -5.3141 eV/atom
* crystal system: tetragonal
* M_tot: 3.00 μB/cell